# NpTl3F6 (GGA-PBE, optimized geometry)
data_NpTl3F6
_symmetry_space_group_name_H-M 'P 1 21/c 1'
_symmetry_Int_Tables_number 14
_symmetry_space_group_name_Hall '-P 2ybc'
_cell_length_a 6.715
_cell_length_b 7.036
_cell_length_c 11.623
_cell_angle_alpha 90.00
_cell_angle_beta 124.62
_cell_angle_gamma 90.00
loop_
_atom_site_label
_atom_site_fract_x
_atom_site_fract_y
_atom_site_fract_z
Np1 0.000 0.000 0.000
Tl1 0.271 0.039 0.756
Tl2 0.500 0.000 0.500
F1 0.099 0.062 0.219
F2 0.243 0.739 0.080
F3 0.325 0.173 0.048
# distance to the lowest polymorph of the same formula	0	meV per atom
# N(E_F)	8.988	states/eV/f.u.
# energy relative to the elements, uncorrected	-2.4369	eV per atom
# energy	-5.56	eV per atom